VASP calculation (PBE-GGA) on a relaxed structure of Zr2Nb4Sb3N3.

Values from the calculation:
The total energy is -207.1 eV per cell. For the mass density, the calculation gives 8.1 g/cm3.

abc: 5.9063 5.9063 13.4747
angles: 102.69 102.69 60.11
Positions (direct):
N  0.0000  0.5000  0.5000
N  0.6604  0.1802  0.5000
Sb  0.5825  0.7705  0.2495
Nb  0.8704  0.6930  0.0794
Nb  0.6930  0.8704  0.5794
Sb  0.9366  0.0634  0.2500
Zr  0.3583  0.5301  0.5917
Sb  0.4175  0.2295  0.7505
Nb  0.3070  0.1296  0.4206
Nb  0.1296  0.3070  0.9206
N  0.5000  0.0000  0.0000
N  0.3396  0.8198  0.5000
Zr  0.4699  0.6417  0.9083
Nb  0.8158  0.9627  0.9205
Nb  0.9627  0.8158  0.4205
N  0.1802  0.6604  0.0000
Nb  0.1842  0.0373  0.0795
Sb  0.7705  0.5825  0.7495
Sb  0.0634  0.9366  0.7500
Nb  0.0373  0.1842  0.5795
Sb  0.2295  0.4175  0.2505
Zr  0.6417  0.4699  0.4083
Zr  0.5301  0.3583  0.0917
N  0.8198  0.3396  0.0000